No. 1
# Cs2Ge2Os (PBE-GGA, relaxed)
data_Cs2Ge2Os
_chemical_formula_sum 'Cs4 Ge4 Os2'
_symmetry_space_group_name_H-M 'I 4/m m m'
_symmetry_Int_Tables_number 139
_symmetry_space_group_name_Hall '-I 4 2'
_cell_length_a 4.5635
_cell_length_b 4.5635
_cell_length_c 15.0477
_cell_angle_alpha 90.00
_cell_angle_beta 90.00
_cell_angle_gamma 90.00
loop_
_atom_site_label
_atom_site_fract_x
_atom_site_fract_y
_atom_site_fract_z
Cs1 0.0000 0.5000 0.2500
Ge1 0.0000 0.0000 0.0762
Os1 0.0000 0.0000 0.5000
# Crystal system = tetragonal
# Formation energy = 1.4218 eV/atom
# E = -30.13 eV per cell
# Distance to the lowest polymorph of the same formula = 1.049 eV/atom

***

No. 2
# ScHgB (PBE-GGA, relaxed)
data_ScHgB
_chemical_formula_sum 'Sc4 Hg4 B4'
_symmetry_space_group_name_H-M 'C 1 2/m 1'
_symmetry_Int_Tables_number 12
_symmetry_space_group_name_Hall '-C 2y'
_cell_length_a 11.6217
_cell_length_b 5.2678
_cell_length_c 3.3890
_cell_angle_alpha 90.00
_cell_angle_beta 90.33
_cell_angle_gamma 90.00
loop_
_atom_site_label
_atom_site_fract_x
_atom_site_fract_y
_atom_site_fract_z
Sc1 0.1401 0.0000 0.0029
Hg1 0.1324 0.5000 0.4979
B1 0.0000 0.1490 0.5000
# Crystal system = monoclinic
# Formation energy = -0.1428 eV/atom
# E = -54.96 eV per cell
# Distance to the lowest polymorph of the same formula = 0.369 eV/atom

***

No. 3
# TePb5 (PBE-GGA, relaxed)
data_TePb5
_chemical_formula_sum 'Te2 Pb10'
_symmetry_space_group_name_H-M 'C m m m'
_symmetry_Int_Tables_number 65
_symmetry_space_group_name_Hall '-C 2 2'
_cell_length_a 4.9921
_cell_length_b 16.9685
_cell_length_c 4.5567
_cell_angle_alpha 90.00
_cell_angle_beta 90.00
_cell_angle_gamma 90.00
loop_
_atom_site_label
_atom_site_fract_x
_atom_site_fract_y
_atom_site_fract_z
Te1 0.0000 0.0000 0.0000
Pb1 0.0000 0.1615 0.5000
Pb2 0.0000 0.3183 0.0000
Pb3 0.0000 0.5000 0.5000
# Crystal system = orthorhombic
# E = -43.65 eV per cell
# Formation energy (no corrections) = -0.14 eV/f.u.
# Distance to the lowest polymorph of the same formula = 0.000 eV/atom

***

No. 4
# ScNb3Rh6 (PBE-GGA, relaxed)
data_ScNb3Rh6
_chemical_formula_sum 'Sc2 Nb6 Rh12'
_symmetry_space_group_name_H-M 'P 1 21/m 1'
_symmetry_Int_Tables_number 11
_symmetry_space_group_name_Hall '-P 2yb'
_cell_length_a 8.6345
_cell_length_b 4.0207
_cell_length_c 9.1322
_cell_angle_alpha 90.00
_cell_angle_beta 92.66
_cell_angle_gamma 90.00
loop_
_atom_site_label
_atom_site_fract_x
_atom_site_fract_y
_atom_site_fract_z
Sc1 0.0593 0.2500 0.3800
Nb1 0.2477 0.2500 0.0219
Nb2 0.3424 0.7500 0.7926
Nb3 0.4393 0.2500 0.5898
Rh1 0.0578 0.7500 0.9066
Rh2 0.1479 0.2500 0.7057
Rh3 0.1579 0.7500 0.1898
Rh4 0.2470 0.7500 0.4922
Rh5 0.3627 0.2500 0.2972
Rh6 0.4594 0.7500 0.1007
# Crystal system = monoclinic
# Formation energy = -0.5333 eV/atom
# E = -171.96 eV per cell

***

No. 5
# TlGaSiBi2 (PBE-GGA, relaxed)
data_TlGaSiBi2
_chemical_formula_sum 'Tl1 Ga1 Si1 Bi2'
_symmetry_space_group_name_H-M 'P 4/m m m'
_symmetry_Int_Tables_number 123
_symmetry_space_group_name_Hall '-P 4 2'
_cell_length_a 5.9497
_cell_length_b 5.9497
_cell_length_c 5.1584
_cell_angle_alpha 90.00
_cell_angle_beta 90.00
_cell_angle_gamma 90.00
loop_
_atom_site_label
_atom_site_fract_x
_atom_site_fract_y
_atom_site_fract_z
Tl1 0.0000 0.0000 0.0000
Ga1 0.5000 0.5000 0.5000
Si1 0.0000 0.0000 0.5000
Bi1 0.0000 0.5000 0.0000
# Crystal system = tetragonal
# E = -13.76 eV per cell
# Formation energy (no corrections) = 4.82 eV/f.u.

***

No. 6
# Sr2Ir3O8 (PBE-GGA, relaxed)
data_Sr2Ir3O8
_chemical_formula_sum 'Sr4 Ir6 O16'
_symmetry_space_group_name_H-M 'C 1 2/m 1'
_symmetry_Int_Tables_number 12
_symmetry_space_group_name_Hall '-C 2y'
_cell_length_a 11.4189
_cell_length_b 6.4520
_cell_length_c 5.4536
_cell_angle_alpha 90.00
_cell_angle_beta 111.01
_cell_angle_gamma 90.00
loop_
_atom_site_label
_atom_site_fract_x
_atom_site_fract_y
_atom_site_fract_z
Sr1 0.2185 0.0000 0.1662
Ir1 0.0000 0.2456 0.5000
Ir2 0.0000 0.5000 0.0000
O1 0.0915 0.5000 0.4093
O2 0.0974 0.2829 0.8862
O3 0.0982 0.0000 0.4575
# Crystal system = monoclinic
# E = -176.64 eV per cell
# Formation energy (no corrections) = -18.71 eV/f.u.

***

No. 7
# Ca3YCu (PBE-GGA, relaxed)
data_Ca3YCu
_chemical_formula_sum 'Ca3 Y1 Cu1'
_symmetry_space_group_name_H-M 'P m -3 m'
_symmetry_Int_Tables_number 221
_symmetry_space_group_name_Hall '-P 4 2 3'
_cell_length_a 5.5963
_cell_length_b 5.5963
_cell_length_c 5.5963
_cell_angle_alpha 90.00
_cell_angle_beta 90.00
_cell_angle_gamma 90.00
loop_
_atom_site_label
_atom_site_fract_x
_atom_site_fract_y
_atom_site_fract_z
Ca1 0.0000 0.0000 0.5000
Y1 0.5000 0.5000 0.5000
Cu1 0.0000 0.0000 0.0000
# Crystal system = cubic
# Formation energy = 0.1644 eV/atom
# E = -15.74 eV per cell
# Distance to the lowest polymorph of the same formula = 0.000 eV/atom

***

No. 8
# PuSi2Au (PBE-GGA, relaxed)
data_PuSi2Au
_chemical_formula_sum 'Pu3 Si6 Au3'
_symmetry_space_group_name_H-M 'R -3 m'
_symmetry_Int_Tables_number 166
_symmetry_space_group_name_Hall '-R 3 2"'
_cell_length_a 4.1846
_cell_length_b 4.1846
_cell_length_c 15.0081
_cell_angle_alpha 90.00
_cell_angle_beta 90.00
_cell_angle_gamma 120.00
loop_
_atom_site_label
_atom_site_fract_x
_atom_site_fract_y
_atom_site_fract_z
Pu1 0.0000 0.0000 0.0000
Si1 0.0000 0.0000 0.2268
Au1 0.0000 0.0000 0.5000
# Crystal system = trigonal
# E = -88.76 eV per cell
# Formation energy (no corrections) = -1.13 eV/f.u.

***

No. 9
# ErMn3B3 (PBE-GGA, relaxed)
data_ErMn3B3
_chemical_formula_sum 'Er2 Mn6 B6'
_symmetry_space_group_name_H-M 'P 63/m'
_symmetry_Int_Tables_number 176
_symmetry_space_group_name_Hall '-P 6c'
_cell_length_a 7.5861
_cell_length_b 7.5861
_cell_length_c 2.9939
_cell_angle_alpha 90.00
_cell_angle_beta 90.00
_cell_angle_gamma 120.00
loop_
_atom_site_label
_atom_site_fract_x
_atom_site_fract_y
_atom_site_fract_z
Er1 0.3333 0.6667 0.2500
Mn1 0.0675 0.3025 0.7500
B1 0.0370 0.5775 0.7500
# Crystal system = hexagonal
# Formation energy = -0.1779 eV/atom
# E = -106.70 eV per cell

***

No. 10
# Na2PaB2O6 (PBE-GGA, relaxed)
data_Na2PaB2O6
_chemical_formula_sum 'Na2 Pa1 B2 O6'
_symmetry_space_group_name_H-M 'P -3'
_symmetry_Int_Tables_number 147
_symmetry_space_group_name_Hall '-P 3'
_cell_length_a 5.3610
_cell_length_b 5.3610
_cell_length_c 6.2149
_cell_angle_alpha 90.00
_cell_angle_beta 90.00
_cell_angle_gamma 120.00
loop_
_atom_site_label
_atom_site_fract_x
_atom_site_fract_y
_atom_site_fract_z
Na1 0.3333 0.6667 0.3418
Pa1 0.0000 0.0000 0.0000
B1 0.3333 0.6667 0.7900
O1 0.1037 0.3862 0.7843
# Crystal system = trigonal
# E = -83.09 eV per cell
# Formation energy (no corrections) = -27.86 eV/f.u.

***

No. 11
# Tl2PW (PBE-GGA, relaxed)
data_Tl2PW
_chemical_formula_sum 'Tl2 P1 W1'
_symmetry_space_group_name_H-M 'P 4/m m m'
_symmetry_Int_Tables_number 123
_symmetry_space_group_name_Hall '-P 4 2'
_cell_length_a 3.8067
_cell_length_b 3.8067
_cell_length_c 5.5785
_cell_angle_alpha 90.00
_cell_angle_beta 90.00
_cell_angle_gamma 90.00
loop_
_atom_site_label
_atom_site_fract_x
_atom_site_fract_y
_atom_site_fract_z
Tl1 0.0000 0.0000 0.2496
P1 0.5000 0.5000 0.0000
W1 0.5000 0.5000 0.5000
# Crystal system = tetragonal
# Formation energy = 1.0821 eV/atom
# E = -18.77 eV per cell
# Distance to the lowest polymorph of the same formula = 0.867 eV/atom

***

No. 12
# KMnOs2 (PBE-GGA, relaxed)
data_KMnOs2
_chemical_formula_sum 'K1 Mn1 Os2'
_symmetry_space_group_name_H-M 'P 4/m m m'
_symmetry_Int_Tables_number 123
_symmetry_space_group_name_Hall '-P 4 2'
_cell_length_a 5.2661
_cell_length_b 5.2661
_cell_length_c 2.5604
_cell_angle_alpha 90.00
_cell_angle_beta 90.00
_cell_angle_gamma 90.00
loop_
_atom_site_label
_atom_site_fract_x
_atom_site_fract_y
_atom_site_fract_z
K1 0.0000 0.0000 0.0000
Mn1 0.5000 0.5000 0.0000
Os1 0.0000 0.5000 0.5000
# Crystal system = tetragonal
# Formation energy = 1.6811 eV/atom
# E = -26.00 eV per cell
# Distance to the lowest polymorph of the same formula = 0.965 eV/atom

***

Mass density list, top to bottom, in g/cm3: 6.37, 8.21, 10.01, 9.87, 6.55, 7.79, 2.58, 10.88, 8.11, 4.24, 12.81, 11.10
Spin magnetization list, top to bottom, in Bohr magnetons per cell: 3.6, 0.0, 0.0, 0.0, 0.0, 1.8, 0.0, 16.6, 0.0, 1.0, 0.0, 3.6